w) Entry from the Alexandria database: an optimized crystal structure of MnMo2H (PBE).

Cell lengths 4.087, 4.087, 4.087 Å; angles 60.00, 60.00, 60.00 degrees
Element x y z (fractional)
H: 0.000 0.000 0.000
Mo: 0.250 0.250 0.250
Mo: 0.750 0.750 0.750
Mn: 0.500 0.500 0.500

Summary:
Crystal system: cubic
Space-group type: Fm-3m (225)
V, Å³/f.u.: 48.3
Density, Mg/m³: 8.5

---

x) Entry from the Alexandria database: an optimized crystal structure of MnMo2H (PBE).

Cell lengths 5.691, 5.691, 4.971 Å; angles 55.08, 55.08, 90.00 degrees
Element x y z (fractional)
H: 0.500 0.500 0.000
H: 0.250 0.750 0.500
Mo: 0.561 0.125 0.250
Mo: 0.189 0.625 0.250
Mo: 0.375 0.439 0.750
Mo: 0.875 0.811 0.750
Mn: 0.000 0.000 0.000
Mn: 0.750 0.250 0.500

Summary:
Crystal system: tetragonal
Space-group type: I-42d (122)
V, Å³/f.u.: 47.3
Density, Mg/m³: 8.7

---

y) Entry from the Alexandria database: an optimized crystal structure of MnMo2H (PBE).

Cell lengths 3.580, 3.580, 6.153 Å; angles 73.09, 73.09, 60.00 degrees
Element x y z (fractional)
H: 0.000 0.000 0.000
Mo: 0.104 0.104 0.688
Mo: 0.896 0.896 0.312
Mn: 0.500 0.500 0.500

Summary:
Crystal system: trigonal
Space-group type: R-3m (166)
V, Å³/f.u.: 64.3
Density, Mg/m³: 6.4

---

Short version: x) is the most stable of them.